(1)
{
  "formula": "RbMoRu2",
  "functional": "PBE",
  "state": "relaxed",
  "lattice_angstrom": [[7.3891, 0.0000, 0.0000], [0.0000, 7.3891, 0.0000], [0.0000, 0.0000, 6.5640]],
  "species": ["Rb", "Rb", "Rb", "Rb", "Mo", "Mo", "Mo", "Mo", "Ru", "Ru", "Ru", "Ru", "Ru", "Ru", "Ru", "Ru"],
  "fractional_positions": [[0.0000, 0.0000, 0.0000], [0.0000, 0.5000, 0.2500], [0.5000, 0.0000, 0.7500], [0.5000, 0.5000, 0.5000], [0.0000, 0.0000, 0.5000], [0.0000, 0.5000, 0.7500], [0.5000, 0.0000, 0.2500], [0.5000, 0.5000, 0.0000], [0.1774, 0.2500, 0.6250], [0.2500, 0.6774, 0.8750], [0.2500, 0.8226, 0.3750], [0.3226, 0.2500, 0.1250], [0.6774, 0.7500, 0.1250], [0.7500, 0.1774, 0.3750], [0.7500, 0.3226, 0.8750], [0.8226, 0.7500, 0.6250]],
  "de_polymorph_mev_per_atom": 0,
  "space_group": "I-42d",
  "dos_at_fermi_per_ev_atom": 1.1478,
  "formation_energy_ev_per_atom": 1.3769
}

(2)
{
  "formula": "Rb3MoRu",
  "functional": "PBE",
  "state": "relaxed",
  "lattice_angstrom": [[6.4596, 0.0000, 0.0000], [0.0000, 6.4596, 0.0000], [0.0000, 0.0000, 6.4596]],
  "species": ["Rb", "Rb", "Rb", "Mo", "Ru"],
  "fractional_positions": [[0.0000, 0.0000, 0.5000], [0.0000, 0.5000, 0.0000], [0.5000, 0.0000, 0.0000], [0.5000, 0.5000, 0.5000], [0.0000, 0.0000, 0.0000]],
  "de_polymorph_mev_per_atom": 0,
  "space_group": "Pm-3m",
  "dos_at_fermi_per_ev_atom": 0.1578,
  "formation_energy_ev_per_atom": 1.8438
}

(3)
{
  "formula": "RbMo3Ru",
  "functional": "PBE",
  "state": "relaxed",
  "lattice_angstrom": [[4.9003, 0.0000, 0.0000], [0.0000, 4.9003, 0.0000], [0.0000, 0.0000, 4.9003]],
  "species": ["Rb", "Mo", "Mo", "Mo", "Ru"],
  "fractional_positions": [[0.0000, 0.0000, 0.0000], [0.0000, 0.5000, 0.5000], [0.5000, 0.0000, 0.5000], [0.5000, 0.5000, 0.0000], [0.5000, 0.5000, 0.5000]],
  "de_polymorph_mev_per_atom": 0,
  "space_group": "Pm-3m",
  "dos_at_fermi_per_ev_atom": 0.7519,
  "formation_energy_ev_per_atom": 1.7913
}

(4)
{
  "formula": "Rb2MoRu",
  "functional": "PBE",
  "state": "relaxed",
  "lattice_angstrom": [[13.1478, 0.0000, 0.0000], [0.0000, 13.1478, 0.0000], [0.0000, 0.0000, 4.6430]],
  "species": ["Rb", "Rb", "Rb", "Rb", "Rb", "Rb", "Rb", "Rb", "Mo", "Mo", "Mo", "Mo", "Ru", "Ru", "Ru", "Ru"],
  "fractional_positions": [[0.0730, 0.2500, 0.1250], [0.2500, 0.5730, 0.3750], [0.2500, 0.9270, 0.8750], [0.4270, 0.2500, 0.6250], [0.5730, 0.7500, 0.6250], [0.7500, 0.0730, 0.8750], [0.7500, 0.4270, 0.3750], [0.9270, 0.7500, 0.1250], [0.0000, 0.0000, 0.5000], [0.0000, 0.5000, 0.7500], [0.5000, 0.0000, 0.2500], [0.5000, 0.5000, 0.0000], [0.0000, 0.0000, 0.0000], [0.0000, 0.5000, 0.2500], [0.5000, 0.0000, 0.7500], [0.5000, 0.5000, 0.5000]],
  "de_polymorph_mev_per_atom": 0,
  "space_group": "I-42d",
  "dos_at_fermi_per_ev_atom": 1.9103,
  "formation_energy_ev_per_atom": 1.4153
}